w:
Density functional theory data (GGA-PBEsol) for a relaxed structure of BeCr2In.

a b c (Å): 7.8481 7.8481 7.8481
angles (deg): 21.12 21.12 21.12
With the nearest neighbours (Å) after each atom.
Fractional coordinates of all 4 atoms:
Be  0.0000  0.0000  0.0000  6 Cr 2.29
Cr  0.2650  0.2650  0.2650  3 Be 2.29
Cr  0.7350  0.7350  0.7350  3 Be 2.29
In  0.5000  0.5000  0.5000  6 Cr 2.81, 6 In 2.88

***

x:
Density functional theory data (GGA-PBEsol) for a relaxed structure of BeCr2In.

a b c (Å): 4.2614 4.2614 3.1653
angles (deg): 90.00 90.00 90.00
With the nearest neighbours (Å) after each atom.
Fractional coordinates of all 4 atoms:
Be  0.0000  0.0000  0.0000  8 Cr 2.65
Cr  0.0000  0.5000  0.5000  4 In 2.65, 4 Be 2.65
Cr  0.5000  0.0000  0.5000  4 In 2.65, 4 Be 2.65
In  0.5000  0.5000  0.0000  8 Cr 2.65

***

x is the most stable structure; the next one sits 0.084 eV/atom above it.

***

w:
Density functional theory data (GGA-PBEsol) for a relaxed structure of MgBeCr2.

a b c (Å): 4.7198 4.7198 4.7198
angles (deg): 143.48 126.04 66.92
With the nearest neighbours (Å) after each atom.
Fractional coordinates of all 4 atoms:
Mg  0.0000  0.0000  0.0000  2 Be 2.53, 8 Cr 2.61-2.76
Be  0.2609  0.7609  0.5000  6 Cr 2.53-2.62, 2 Mg 2.53
Cr  0.5216  0.5216  0.0000  2 Cr 2.16
Cr  0.7218  0.2218  0.5000  2 Cr 2.16

***

x:
Density functional theory data (GGA-PBEsol) for a relaxed structure of MgBeCr2.

a b c (Å): 4.1283 4.1283 4.1283
angles (deg): 60.00 60.00 60.00
With the nearest neighbours (Å) after each atom.
Fractional coordinates of all 4 atoms:
Mg  0.0000  0.0000  0.0000  4 Cr 2.53, 4 Be 2.53
Be  0.7500  0.7500  0.7500  4 Cr 2.53, 4 Mg 2.53
Cr  0.2500  0.2500  0.2500  4 Cr 2.53, 4 Mg 2.53
Cr  0.5000  0.5000  0.5000  4 Cr 2.53, 4 Be 2.53

***

w is the most stable structure; the next one sits 0.018 eV/atom above it.

***

w:
Density functional theory data (GGA-PBEsol) for a relaxed structure of Be2CrMo.

a b c (Å): 8.2960 8.2960 8.2960
angles (deg): 17.78 17.78 17.78
With the nearest neighbours (Å) after each atom.
Fractional coordinates of all 4 atoms:
Be  0.0000  0.0000  0.0000  9 Be 2.34-2.56, 3 Mo 2.59
Be  0.2593  0.2593  0.2593  9 Be 2.34-2.56, 3 Cr 2.43
Cr  0.5141  0.5141  0.5141  3 Be 2.43, 6 Cr 2.56
Mo  0.7537  0.7537  0.7537  6 Mo 2.56, 3 Be 2.59, 3 Cr 2.73

***

x:
Density functional theory data (GGA-PBEsol) for a relaxed structure of Be2CrMo.

a b c (Å): 3.4519 3.4519 3.6619
angles (deg): 90.00 90.00 90.00
With the nearest neighbours (Å) after each atom.
Fractional coordinates of all 4 atoms:
Be  0.0000  0.5000  0.0000  4 Be 2.44, 4 Cr 2.52, 4 Mo 2.52
Be  0.5000  0.0000  0.0000  4 Be 2.44, 4 Cr 2.52, 4 Mo 2.52
Cr  0.0000  0.0000  0.5000  4 Mo 2.44, 8 Be 2.52
Mo  0.5000  0.5000  0.5000  4 Cr 2.44, 8 Be 2.52

***

x is the most stable structure; the next one sits 0.338 eV/atom above it.

***

w:
Density functional theory data (GGA-PBEsol) for a relaxed structure of BeCrP2O.

a b c (Å): 4.6985 4.6985 2.8822
angles (deg): 90.00 90.00 90.00
With the nearest neighbours (Å) after each atom.
Fractional coordinates of all 5 atoms:
Be  0.0000  0.0000  0.0000  2 O 1.44
Cr  0.5000  0.5000  0.5000  8 P 2.76, 2 Cr 2.88
P  0.0000  0.5000  0.0000  2 Be 2.35
P  0.5000  0.0000  0.0000  2 Be 2.35
O  0.0000  0.0000  0.5000  2 Be 1.44

***

x:
Density functional theory data (GGA-PBEsol) for a relaxed structure of BeCrP2O.

a b c (Å): 4.5361 4.5361 3.4136
angles (deg): 90.00 90.00 90.00
With the nearest neighbours (Å) after each atom.
Fractional coordinates of all 5 atoms:
Be  0.0000  0.0000  0.0000  8 P 2.84
Cr  0.5000  0.5000  0.5000  2 O 1.71
P  0.0000  0.5000  0.5000  2 Cr 2.27
P  0.5000  0.0000  0.5000  2 Cr 2.27
O  0.5000  0.5000  0.0000  2 Cr 1.71

***

w is the most stable structure; the next one sits 0.077 eV/atom above it.

***

w:
Density functional theory data (GGA-PBEsol) for a relaxed structure of Be2CrOs.

a b c (Å): 2.5336 2.5336 7.6387
angles (deg): 90.00 90.00 113.62
With the nearest neighbours (Å) after each atom.
Fractional coordinates of all 4 atoms:
Be  0.0000  0.0000  0.0000  2 Be 2.24, 2 Os 2.39
Be  0.5000  0.5000  0.2307  2 Be 2.24, 2 Cr 2.32
Cr  0.0000  0.0000  0.4737  2 Be 2.32, 2 Os 2.50, 4 Cr 2.53
Os  0.5000  0.5000  0.7452  2 Be 2.39, 2 Cr 2.50, 4 Os 2.53

***

x:
Density functional theory data (GGA-PBEsol) for a relaxed structure of Be2CrOs.

a b c (Å): 3.8878 3.8878 3.8878
angles (deg): 60.00 60.00 60.00
With the nearest neighbours (Å) after each atom.
Fractional coordinates of all 4 atoms:
Be  0.2500  0.2500  0.2500  4 Cr 2.38, 4 Os 2.38
Be  0.7500  0.7500  0.7500  4 Cr 2.38, 4 Os 2.38
Cr  0.0000  0.0000  0.0000  8 Be 2.38
Os  0.5000  0.5000  0.5000  8 Be 2.38

***

y:
Density functional theory data (GGA-PBEsol) for a relaxed structure of Be2CrOs.

a b c (Å): 2.8696 2.8696 5.1122
angles (deg): 90.00 90.00 90.00
With the nearest neighbours (Å) after each atom.
Fractional coordinates of all 4 atoms:
Be  0.0000  0.0000  0.2419  4 Os 2.38, 4 Cr 2.42, 2 Be 2.47-2.64
Be  0.0000  0.0000  0.7581  4 Os 2.38, 4 Cr 2.42, 2 Be 2.47-2.64
Cr  0.5000  0.5000  0.5000  8 Be 2.42, 2 Os 2.56
Os  0.5000  0.5000  0.0000  8 Be 2.38, 2 Cr 2.56

***

x is the most stable structure; the next one sits 0.064 eV/atom above it.

***

w:
Density functional theory data (GGA-PBEsol) for a relaxed structure of BeCr2Sb.

a b c (Å): 3.0263 3.0263 5.5879
angles (deg): 90.00 90.00 90.00
With the nearest neighbours (Å) after each atom.
Fractional coordinates of all 4 atoms:
Be  0.0000  0.0000  0.0000  5 Cr 2.30-2.36
Cr  0.0000  0.0000  0.5885  1 Be 2.30, 4 Cr 2.51
Cr  0.5000  0.5000  0.8227  4 Be 2.36, 4 Cr 2.51
Sb  0.5000  0.5000  0.3027  6 Cr 2.67-2.91, 4 Be 2.73

***

x:
Density functional theory data (GGA-PBEsol) for a relaxed structure of BeCr2Sb.

a b c (Å): 4.6173 4.6173 4.6173
angles (deg): 132.00 132.00 70.23
With the nearest neighbours (Å) after each atom.
Fractional coordinates of all 4 atoms:
Be  0.0000  0.0000  0.0000  8 Cr 2.66, 4 Sb 2.66
Cr  0.5000  0.5000  0.0000  4 Be 2.66, 4 Cr 2.66, 4 Sb 2.66
Cr  0.7500  0.2500  0.5000  4 Sb 2.66, 4 Cr 2.66, 4 Be 2.66
Sb  0.2500  0.7500  0.5000  8 Cr 2.66, 4 Be 2.66

***

w is the most stable structure; the next one sits 0.096 eV/atom above it.

***

w:
Density functional theory data (GGA-PBEsol) for a relaxed structure of BeCr2Se.

a b c (Å): 3.9998 3.9998 2.9239
angles (deg): 90.00 90.00 90.00
With the nearest neighbours (Å) after each atom.
Fractional coordinates of all 4 atoms:
Be  0.0000  0.0000  0.0000  8 Cr 2.48
Cr  0.0000  0.5000  0.5000  4 Se 2.48, 4 Be 2.48
Cr  0.5000  0.0000  0.5000  4 Se 2.48, 4 Be 2.48
Se  0.5000  0.5000  0.0000  8 Cr 2.48

***

x:
Density functional theory data (GGA-PBEsol) for a relaxed structure of BeCr2Se.

a b c (Å): 4.5583 4.5583 4.5583
angles (deg): 134.70 134.70 66.00
With the nearest neighbours (Å) after each atom.
Fractional coordinates of all 4 atoms:
Be  0.0000  0.0000  0.0000  8 Cr 2.48-2.60, 4 Se 2.60
Cr  0.5000  0.5000  0.0000  4 Be 2.48, 4 Cr 2.60, 4 Se 2.60
Cr  0.7500  0.2500  0.5000  4 Se 2.48, 4 Cr 2.60, 4 Be 2.60
Se  0.2500  0.7500  0.5000  8 Cr 2.48-2.60, 4 Be 2.60

***

x is the most stable structure; the next one sits 0.075 eV/atom above it.

***

w:
Density functional theory data (GGA-PBEsol) for a relaxed structure of BeCrW.

a b c (Å): 5.9512 5.8042 2.5841
angles (deg): 80.50 74.14 25.36
With the nearest neighbours (Å) after each atom.
Fractional coordinates of all 3 atoms:
Be  0.0000  0.0000  0.0000  2 Cr 2.28, 2 W 2.43
Cr  0.3528  0.3528  0.6472  2 Be 2.28
W  0.6656  0.6656  0.3344  2 Be 2.43, 4 W 2.58, 2 Cr 2.62

***

x:
Density functional theory data (GGA-PBEsol) for a relaxed structure of BeCrW.

a b c (Å): 4.4317 4.4317 4.4317
angles (deg): 147.03 128.54 62.48
With the nearest neighbours (Å) after each atom.
Fractional coordinates of all 3 atoms:
Be  0.0000  0.0000  0.0000  2 Be 2.52, 5 W 2.52-2.62, 5 Cr 2.59-2.60
Cr  0.6563  0.6563  0.0000  5 W 2.45-2.66, 2 Cr 2.52, 5 Be 2.59-2.60
W  0.3328  0.3328  0.0000  5 Cr 2.45-2.66, 2 W 2.52, 5 Be 2.52-2.62

***

w is the most stable structure; the next one sits 0.030 eV/atom above it.